Material: HfFeTe2N
Method: DFT, PBE
State: optimized geometry

The energy above the lowest structure with this stoichiometry comes out at 14.49 kJ per mole of atoms. The crystal system is tetragonal. For the uncorrected formation energy, the calculation gives 0.29 eV/atom.

The space group is P4/mmm (No. 123) and the conventional cell measures 4.972, 4.972 and 3.673 Å, with angles of 90.00, 90.00 and 90.00 degrees. The inequivalent atoms are Hf at (0.000, 0.000, 0.000), Fe at (0.500, 0.500, 0.000), Te at (0.000, 0.500, 0.500) and N at (0.500, 0.500, 0.500).